# CaMn2P4O14 PBE+U relaxed
data_CaMn2P4O14
_chemical_formula_sum 'Ca1 Mn2 P4 O14'
_cell_length_a 5.173
_cell_length_b 6.233
_cell_length_c 9.554
_cell_angle_alpha 102.50
_cell_angle_beta 97.72
_cell_angle_gamma 104.92
_space_group_name_H-M_alt 'P 1'
_space_group_IT_number 1
_space_group_name_Hall 'P 1'
loop_
_atom_site_label
_atom_site_type_symbol
_atom_site_fract_x
_atom_site_fract_y
_atom_site_fract_z
Ca1 Ca 0.000 0.000 0.000
Mn1 Mn 0.465 0.494 0.339
Mn2 Mn 0.909 0.975 0.604
P1 P 0.052 0.500 0.586
P2 P 0.335 0.969 0.365
P3 P 0.428 0.902 0.818
P4 P 0.928 0.557 0.124
O1 O 0.094 0.393 0.149
O2 O 0.116 0.825 0.219
O3 O 0.191 0.013 0.491
O4 O 0.200 0.463 0.461
O5 O 0.220 0.032 0.793
O6 O 0.271 0.633 0.734
O7 O 0.484 0.185 0.324
O8 O 0.513 0.924 0.979
O9 O 0.540 0.833 0.395
O10 O 0.669 0.515 0.188
O11 O 0.689 0.966 0.756
O12 O 0.849 0.640 0.557
O13 O 0.880 0.596 0.974
O14 O 0.886 0.278 0.614
# **Crystal system**: triclinic
# **Relative energy among the computed polymorphs**: 0.0163 eV per atom
# **Total moment**: 0.379 μB/atom